1.
5
Lattice="-1.6250 -0.5314 3.8707 -2.0559 -4.1955 -1.4391 3.4782 -2.1062 1.1711" Properties=species:S:1:pos:R:3 comment="LaTeRhN2 PBE relaxed" polymorph_energy_ev_per_atom=0.052 pbc="T T T"
Rh -1.0280 -2.0977 -0.7195
N -0.8125 -0.2657 1.9354
N 1.7391 -1.0531 0.5855
Te 0.0000 0.0000 0.0000
La -0.1014 -3.4165 1.8013

2.
5
Lattice="5.5481 0.0000 0.0000 0.0000 5.5481 0.0000 0.0000 0.0000 3.8300" Properties=species:S:1:pos:R:3 comment="LaTe2RhN PBE relaxed" polymorph_energy_ev_per_atom=0.000 pbc="T T T"
Rh 0.0000 0.0000 0.0000
La 2.7741 2.7741 1.9150
N 0.0000 0.0000 1.9150
Te 2.7741 0.0000 0.0000
Te 0.0000 2.7741 0.0000

3.
5
Lattice="-2.0619 3.5735 1.0778 -2.2671 -2.1772 2.8815 3.6240 1.0026 3.6088" Properties=species:S:1:pos:R:3 comment="LaTeRhN2 PBE relaxed" polymorph_energy_ev_per_atom=0.000 pbc="T T T"
La -0.3525 1.1994 3.7840
Te 1.8120 0.5013 1.8044
Rh 0.0000 0.0000 0.0000
N -1.0309 1.7867 0.5389
N -1.1335 -1.0886 1.4407

4.
12
Lattice="-2.9228 -2.6961 1.4210 3.1890 1.1049 8.6554 -6.7536 6.8781 -0.8412" Properties=species:S:1:pos:R:3 comment="La3TeRhN PBE relaxed" final_energy_ev_per_atom=-6.79 pbc="T T T"
La -4.7101 5.8573 4.5622
La -0.4642 0.0331 8.5192
La -1.3064 3.5558 7.1965
La -5.1810 1.7309 2.0388
La -1.7773 -0.5705 4.6730
La -6.0233 5.2537 0.7161
Rh -6.8405 4.2312 3.3691
Rh 0.3531 1.0556 5.8662
Te -4.8206 4.2292 7.5201
Te -1.6669 1.0576 1.7152
N -4.5365 3.5680 0.5759
N -1.9510 1.7188 8.6594

Number 1: density 7.54 g cm⁻³, magnetic moment 0.00 μB per cell. Number 2: density 7.20 g cm⁻³, magnetic moment 0.28 μB per cell. Number 3: density 6.96 g cm⁻³, magnetic moment 2.39 μB per cell. Number 4: density 5.95 g cm⁻³, magnetic moment 0.00 μB per cell.